CdInB: optimized geometry, GGA-PBE.

```
data_CdInB
_cell_length_a 3.801
_cell_length_b 5.424
_cell_length_c 5.868
_cell_angle_alpha 85.61
_cell_angle_beta 89.87
_cell_angle_gamma 89.42
_symmetry_space_group_name_H-M 'P 1'
_symmetry_Int_Tables_number 1
loop_
_symmetry_equiv_pos_as_xyz
'x,y,z'
loop_
_atom_site_label
_atom_site_type_symbol
_atom_site_fract_x
_atom_site_fract_y
_atom_site_fract_z
Cd1 Cd 0.000 0.000 0.000
Cd2 Cd 0.490 0.458 0.012
In1 In 0.000 0.842 0.553
In2 In 0.508 0.376 0.531
B1 B 0.499 0.057 0.287
B2 B 0.500 0.764 0.277
```

Output
- Total magnetic moment: 0.00 μB per formula unit
- ΔH_f (0 K): 488 meV/atom
- Calculated total energy: -2.9554 eV/atom
- DOS at the Fermi energy: 1.8 states/eV/cell